Computed, not measured: BaZnGa2Co after structural relaxation at the PBE-GGA level of DFT.

Computed properties:
For the theoretical density, the calculation gives 6.264 g/cm3. Its total moment is 0.01 μB per formula unit. The value obtained for the total energy is -17.94 eV for the cell shown.

abc: 4.6884 4.6884 4.8372
angles: 90.00 90.00 90.00
Closest atoms and distances in Å follow each position.
Sites, in units of the cell vectors:
Ga 0.5000 0.0000 0.0000  2 Co 2.34
Ba 0.5000 0.5000 0.5000  4 Zn 3.32, 8 Ga 3.37
Zn 0.0000 0.0000 0.5000  2 Co 2.42
Co 0.0000 0.0000 0.0000  4 Ga 2.34, 2 Zn 2.42
Ga 0.0000 0.5000 0.0000  2 Co 2.34

---

Computed, not measured: BaGd3Co after structural relaxation at the PBE-GGA level of DFT.

Computed properties:
For the theoretical density, the calculation gives 6.760 g/cm3. Its total moment is 22.26 μB per formula unit. The value obtained for the total energy is -51.26 eV for the cell shown.

abc: 5.4748 5.4748 5.4748
angles: 90.00 90.00 90.00
Closest atoms and distances in Å follow each position.
Sites, in units of the cell vectors:
Gd 0.0000 0.5000 0.0000  2 Co 2.74
Gd 0.5000 0.0000 0.0000  2 Co 2.74
Gd 0.0000 0.0000 0.5000  2 Co 2.74
Co 0.0000 0.0000 0.0000  6 Gd 2.74
Ba 0.5000 0.5000 0.5000  12 Gd 3.87

---

no.,E_form (eV/f.u.)
1,-1.59
2,0.01